[1]
Computed, not measured: an optimized crystal structure of Mg6In5Bi at the PBE level of DFT.

Cell lengths 7.5744, 7.5744, 8.5376 Å; angles 90.52, 90.52, 143.60 degrees
Sites, in units of the cell vectors:
Mg  0.0011  0.0011  0.2543
Mg  0.3289  0.6667  0.2576
Mg  0.3333  0.6711  0.7424
Mg  0.6667  0.3289  0.2576
Mg  0.6711  0.3333  0.7424
Mg  0.9989  0.9989  0.7457
In  0.1634  0.8366  0.5000
In  0.1733  0.8267  0.0000
In  0.5000  0.5000  0.5000
In  0.8267  0.1733  0.0000
In  0.8366  0.1634  0.5000
Bi  0.5000  0.5000  0.0000

Properties
The value obtained for the raw total energy is -2.350 eV per atom.

---

[2]
Computed, not measured: an optimized crystal structure of Mg8In3Bi2 at the PBE level of DFT.

Cell lengths 9.1570, 9.1570, 4.6949 Å; angles 90.00, 90.00, 116.17 degrees
Sites, in units of the cell vectors:
Mg  0.1083  0.8917  0.0000
Mg  0.1279  0.3729  0.5000
Mg  0.3700  0.6300  0.0000
Mg  0.3729  0.1279  0.5000
Mg  0.6271  0.8721  0.5000
Mg  0.6300  0.3700  0.0000
Mg  0.8721  0.6271  0.5000
Mg  0.8917  0.1083  0.0000
In  0.2538  0.2538  0.0000
In  0.5000  0.5000  0.5000
In  0.7462  0.7462  0.0000
Bi  0.2403  0.7597  0.5000
Bi  0.7597  0.2403  0.5000

Properties
The value obtained for the raw total energy is -2.279 eV per atom.

---

[3]
Computed, not measured: an optimized crystal structure of MgIn2Bi2 at the PBE level of DFT.

Cell lengths 7.8347, 7.8347, 5.1355 Å; angles 90.00, 90.00, 90.00 degrees
Sites, in units of the cell vectors:
Mg  0.0000  0.0000  0.0000
Mg  0.5000  0.5000  0.0000
In  0.1704  0.3296  0.5000
In  0.3296  0.8296  0.5000
In  0.6704  0.1704  0.5000
In  0.8296  0.6704  0.5000
Bi  0.1415  0.6415  0.0000
Bi  0.3585  0.1415  0.0000
Bi  0.6415  0.8585  0.0000
Bi  0.8585  0.3585  0.0000

Properties
The value obtained for the raw total energy is -2.917 eV per atom. The calculation puts the energy above the lowest structure with this stoichiometry at 59 meV per atom.

---

[4]
Computed, not measured: an optimized crystal structure of Mg2In9Bi at the PBE level of DFT.

Cell lengths 4.6518, 4.6518, 14.6001 Å; angles 90.00, 90.00, 90.00 degrees
Sites, in units of the cell vectors:
Mg  0.0000  0.0000  0.1588
Mg  0.0000  0.0000  0.8412
In  0.0000  0.5000  0.0000
In  0.0000  0.5000  0.3233
In  0.0000  0.5000  0.6767
In  0.5000  0.0000  0.0000
In  0.5000  0.0000  0.3233
In  0.5000  0.0000  0.6767
In  0.5000  0.5000  0.1588
In  0.5000  0.5000  0.5000
In  0.5000  0.5000  0.8412
Bi  0.0000  0.0000  0.5000

Properties
The value obtained for the raw total energy is -2.640 eV per atom.

---

[5]
Computed, not measured: an optimized crystal structure of MgIn12Bi6 at the PBE level of DFT.

Cell lengths 9.0451, 9.0451, 9.0451 Å; angles 63.77, 63.77, 63.77 degrees
Sites, in units of the cell vectors:
Mg  0.0000  0.0000  0.0000
In  0.0841  0.7432  0.7390
In  0.1865  0.5129  0.5200
In  0.2568  0.2610  0.9159
In  0.2610  0.9159  0.2568
In  0.4800  0.8135  0.4871
In  0.4871  0.4800  0.8135
In  0.5129  0.5200  0.1865
In  0.5200  0.1865  0.5129
In  0.7390  0.0841  0.7432
In  0.7432  0.7390  0.0841
In  0.8135  0.4871  0.4800
In  0.9159  0.2568  0.2610
Bi  0.1277  0.1358  0.5957
Bi  0.1358  0.5957  0.1277
Bi  0.4043  0.8723  0.8642
Bi  0.5957  0.1277  0.1358
Bi  0.8642  0.4043  0.8723
Bi  0.8723  0.8642  0.4043

Properties
The value obtained for the raw total energy is -2.999 eV per atom.

---

[6]
Computed, not measured: an optimized crystal structure of MgIn14Bi at the PBE level of DFT.

Cell lengths 11.0998, 6.7416, 6.7416 Å; angles 59.58, 90.00, 90.00 degrees
Sites, in units of the cell vectors:
Mg  0.0000  0.0000  0.0000
In  0.0000  0.0005  0.5043
In  0.0000  0.5043  0.0005
In  0.2451  0.1606  0.1606
In  0.2504  0.1586  0.6646
In  0.2504  0.6646  0.1586
In  0.2564  0.6640  0.6640
In  0.5000  0.3276  0.8347
In  0.5000  0.3285  0.3285
In  0.5000  0.8320  0.8320
In  0.5000  0.8347  0.3276
In  0.7436  0.6640  0.6640
In  0.7496  0.1586  0.6646
In  0.7496  0.6646  0.1586
In  0.7549  0.1606  0.1606
Bi  0.0000  0.5051  0.5051

Properties
The value obtained for the raw total energy is -2.731 eV per atom.

---

[7]
Computed, not measured: an optimized crystal structure of Mg3InBi at the PBE level of DFT.

Cell lengths 5.5001, 6.5218, 7.6247 Å; angles 103.22, 99.51, 104.80 degrees
Sites, in units of the cell vectors:
Mg  0.0233  0.2530  0.0059
Mg  0.2279  0.6457  0.4062
Mg  0.4152  0.0707  0.7973
Mg  0.5848  0.9293  0.2027
Mg  0.7721  0.3543  0.5938
Mg  0.9767  0.7470  0.9941
In  0.1726  0.1031  0.3772
In  0.8274  0.8969  0.6228
Bi  0.3652  0.5711  0.7894
Bi  0.6348  0.4289  0.2106

Properties
The value obtained for the raw total energy is -2.367 eV per atom. The calculation puts the energy above the lowest structure with this stoichiometry at 20 meV per atom.

---

[8]
Computed, not measured: an optimized crystal structure of MgIn3Bi3 at the PBE level of DFT.

Cell lengths 7.7658, 8.0954, 8.1534 Å; angles 64.18, 73.91, 75.07 degrees
Sites, in units of the cell vectors:
Mg  0.0856  0.0754  0.2670
Mg  0.9144  0.9246  0.7330
In  0.2478  0.3960  0.3273
In  0.2919  0.6705  0.8839
In  0.4780  0.1003  0.6341
In  0.5220  0.8997  0.3659
In  0.7081  0.3295  0.1161
In  0.7522  0.6040  0.6727
Bi  0.0454  0.1992  0.8461
Bi  0.1761  0.6828  0.5412
Bi  0.4163  0.2289  0.9849
Bi  0.5837  0.7711  0.0151
Bi  0.8239  0.3172  0.4588
Bi  0.9546  0.8008  0.1539

Properties
The value obtained for the raw total energy is -3.065 eV per atom.

---

no.,formation energy (meV per atom)
1,-88
2,-68
3,50
4,3
5,40
6,8
7,-87
8,0